Entry from Alexandria via LeMat-Bulk: crystalline SbTeAu2 at its relaxed geometry (PBE).

Geometry as POSCAR:
```
SbTeAu2
1.0
7.308 0.000 0.000
0.000 4.177 0.000
-2.378 0.000 6.427
Sb Te Au
2 2 4
Direct
0.000 0.000 0.000
0.500 0.500 0.000
0.222 0.000 0.668
0.722 0.500 0.668
0.237 0.500 0.211
0.479 0.000 0.438
0.737 0.000 0.211
0.979 0.500 0.438
```

Properties
The volume comes out at 196.2 Å³/cell. As for the formation energy (no corrections): -0.037 eV/atom. Its symmetry is Cm, No. 8. The density of states at the Fermi level comes out at 1.547 states/eV/f.u. The relative energy among the computed polymorphs is 0 kJ/mol of formula units.

***

Entry from Alexandria via LeMat-Bulk: crystalline Mn5Se8 at its relaxed geometry (PBE).

Geometry as POSCAR:
```
Mn5Se8
1.0
0.000 5.249 5.249
5.249 0.000 5.249
5.249 5.249 0.000
Mn Se
5 8
Direct
0.000 0.000 0.000
0.382 0.382 0.382
0.382 0.382 0.854
0.382 0.854 0.382
0.854 0.382 0.382
0.136 0.136 0.136
0.136 0.136 0.593
0.136 0.593 0.136
0.140 0.620 0.620
0.593 0.136 0.136
0.620 0.140 0.620
0.620 0.620 0.140
0.620 0.620 0.620
```

Properties
The volume comes out at 289.3 Å³/cell. As for the formation energy (no corrections): -0.434 eV/atom. Its symmetry is F-43m, No. 216. The density of states at the Fermi level comes out at 6.600 states/eV/f.u.

***

Entry from Alexandria via LeMat-Bulk: crystalline MnPtSe at its relaxed geometry (PBE).

Geometry as POSCAR:
```
MnPtSe
1.0
3.461 0.000 0.000
-1.731 2.997 0.000
0.000 0.000 5.080
Mn Pt Se
1 1 1
Direct
0.000 0.000 0.000
0.667 0.333 0.298
0.333 0.667 0.700
```

Properties
The volume comes out at 52.7 Å³/cell. As for the formation energy (no corrections): -0.102 eV/atom. Its symmetry is P3m1, No. 156. The density of states at the Fermi level comes out at 0.804 states/eV/f.u. The relative energy among the computed polymorphs is 5 kJ/mol of formula units.

***

Entry from Alexandria via LeMat-Bulk: crystalline BiSe2NF at its relaxed geometry (PBE).

Geometry as POSCAR:
```
BiSe2NF
1.0
5.660 0.000 0.000
0.000 5.660 0.000
0.000 0.000 4.557
Bi Se N F
1 2 1 1
Direct
0.000 0.000 0.000
0.000 0.500 0.000
0.500 0.000 0.000
0.000 0.000 0.500
0.500 0.500 0.500
```

Properties
The volume comes out at 146.0 Å³/cell. As for the formation energy (no corrections): 1.035 eV/atom. Its symmetry is P4/mmm, No. 123. The density of states at the Fermi level comes out at 4.359 states/eV/f.u. The relative energy among the computed polymorphs is 57 kJ/mol of formula units.